Record 1
# UVAs2, optimized geometry, DFT PBE
# Symmetry: P4/mmm
# E above lowest polymorph in meV per atom: 196.9
# Energy of formation from the pure elements in eV per atom: -0.310
data_UVAs2
_chemical_formula_sum 'U1 V1 As2'
_cell_length_a 3.427
_cell_length_b 4.576
_cell_length_c 4.576
_cell_angle_alpha 90.00
_cell_angle_beta 90.00
_cell_angle_gamma 90.00
_space_group_name_H-M_alt 'P 1'
_space_group_IT_number 1
loop_
_space_group_symop_operation_xyz
'x,y,z'
loop_
_atom_site_label
_atom_site_type_symbol
_atom_site_fract_x
_atom_site_fract_y
_atom_site_fract_z
As1 As 0.000 0.000 0.500
V1 V 0.500 0.000 0.000
As2 As 0.000 0.500 0.000
U1 U 0.500 0.500 0.500

Record 2
# U2CrFe3B12, optimized geometry, DFT PBE
# Symmetry: R-3m
# Energy of formation from the pure elements in eV per atom: 0.080
data_U2CrFe3B12
_chemical_formula_sum 'U2 Cr1 Fe3 B12'
_cell_length_a 8.067
_cell_length_b 8.067
_cell_length_c 8.067
_cell_angle_alpha 38.59
_cell_angle_beta 38.59
_cell_angle_gamma 38.59
_space_group_name_H-M_alt 'P 1'
_space_group_IT_number 1
loop_
_space_group_symop_operation_xyz
'x,y,z'
loop_
_atom_site_label
_atom_site_type_symbol
_atom_site_fract_x
_atom_site_fract_y
_atom_site_fract_z
B1 B 0.679 0.050 0.050
U1 U 0.644 0.644 0.644
B2 B 0.050 0.679 0.050
B3 B 0.652 0.652 0.980
Fe1 Fe 0.000 0.500 0.000
B4 B 0.950 0.950 0.321
B5 B 0.321 0.950 0.950
B6 B 0.050 0.050 0.679
Fe2 Fe 0.500 0.000 0.000
U2 U 0.356 0.356 0.356
B7 B 0.652 0.980 0.652
Fe3 Fe 0.000 0.000 0.500
B8 B 0.020 0.348 0.348
Cr1 Cr 0.000 0.000 0.000
B9 B 0.348 0.020 0.348
B10 B 0.950 0.321 0.950
B11 B 0.980 0.652 0.652
B12 B 0.348 0.348 0.020